[1]
DFT (PBE-GGA) results for crystalline Pr2MgTa2Ir5 at its relaxed geometry.

- electronic total energy (eV/atom) = -8.2020
- space-group type = P4/mbm, No. 127
- size of the total moment (μB/cell) = 0.0

```
Pr2MgTa2Ir5
1.0
-2.497 2.281 0.880
-3.157 0.437 -10.094
-6.699 -8.007 1.748
Pr Mg Ta Ir
4 2 4 10
Direct
0.000 0.673 0.173 Pr
0.000 0.327 0.827 Pr
0.000 0.173 0.327 Pr
0.000 0.827 0.673 Pr
0.000 0.000 0.000 Mg
0.000 0.500 0.500 Mg
0.000 0.133 0.633 Ta
0.000 0.867 0.367 Ta
0.000 0.633 0.867 Ta
0.000 0.367 0.133 Ta
0.500 0.200 0.055 Ir
0.500 0.800 0.945 Ir
0.500 0.055 0.800 Ir
0.500 0.700 0.445 Ir
0.500 0.945 0.200 Ir
0.500 0.300 0.555 Ir
0.500 0.555 0.700 Ir
0.500 0.445 0.300 Ir
0.500 0.500 0.000 Ir
0.500 0.000 0.500 Ir
```

[2]
DFT (PBE-GGA) results for crystalline CeSmTlAu at its relaxed geometry.

- electronic total energy (eV/atom) = -4.5674
- space-group type = P4mm, No. 99
- size of the total moment (μB/cell) = 1.2
- distance to the lowest polymorph of the same formula (eV per atom) = 0.000

```
CeSmTlAu
1.0
3.668 0.000 0.000
0.000 3.668 0.000
0.000 0.000 8.069
Ce Sm Tl Au
1 1 1 1
Direct
0.500 0.500 0.802 Ce
0.500 0.500 0.345 Sm
0.000 0.000 0.076 Tl
0.000 0.000 0.562 Au
```